CaCeSc4S8 | GGA-PBE | relaxed

POSCAR file:
```
CaCeSc4S8
1.0
3.8674 2.2328 6.5451
-3.8674 2.2328 6.5451
0.0000 -4.4657 6.5451
Ca Ce Sc S
1 1 4 8
Direct
0.0000 0.0000 0.0000
0.3706 0.3706 0.3706
0.3702 0.3702 0.8751
0.3702 0.8751 0.3702
0.7450 0.7450 0.7450
0.8751 0.3702 0.3702
0.1224 0.1224 0.5852
0.1224 0.5852 0.1224
0.1359 0.1359 0.1359
0.1357 0.6260 0.6260
0.5852 0.1224 0.1224
0.6139 0.6139 0.6139
0.6260 0.1357 0.6260
0.6260 0.6260 0.1357
```

Computed properties:
As for the crystal system: trigonal. The uncorrected formation energy is -1.853 eV per atom.



CoAgP2 | GGA-PBE | relaxed

POSCAR file:
```
CoAgP2
1.0
5.3903 0.0000 0.0000
0.0000 5.3903 0.0000
0.0000 0.0000 10.2968
Co Ag P
4 4 8
Direct
0.0000 0.0000 0.0000
0.0000 0.5000 0.2500
0.5000 0.0000 0.7500
0.5000 0.5000 0.5000
0.0000 0.0000 0.5000
0.0000 0.5000 0.7500
0.5000 0.0000 0.2500
0.5000 0.5000 0.0000
0.1861 0.2500 0.1250
0.2500 0.6861 0.3750
0.2500 0.8139 0.8750
0.3139 0.2500 0.6250
0.6861 0.7500 0.6250
0.7500 0.1861 0.8750
0.7500 0.3139 0.3750
0.8139 0.7500 0.1250
```

Computed properties:
As for the crystal system: tetragonal. As for the energy relative to the lowest polymorph listed for this composition: 0.086 eV per atom. Its energy of formation from the pure elements is 0.124 eV per atom.



Li4AcSn2Au | GGA-PBE | relaxed

POSCAR file:
```
Li4AcSn2Au
1.0
2.3729 1.3700 9.1504
-2.3729 1.3700 9.1504
0.0000 -2.7399 9.1504
Li Ac Sn Au
4 1 2 1
Direct
0.0890 0.0890 0.0890
0.3619 0.3619 0.3619
0.6381 0.6381 0.6381
0.9110 0.9110 0.9110
0.5000 0.5000 0.5000
0.2467 0.2467 0.2467
0.7533 0.7533 0.7533
0.0000 0.0000 0.0000
```

Computed properties:
As for the crystal system: trigonal. Its energy of formation from the pure elements is -0.434 eV per atom.



CaPrAu2 | GGA-PBE | relaxed

POSCAR file:
```
CaPrAu2
1.0
4.2175 0.0000 0.0000
-2.1087 3.6525 0.0000
0.0000 0.0000 22.3514
Ca Pr Au
3 3 6
Direct
0.0000 0.0000 0.0000
0.3333 0.6667 0.6667
0.6667 0.3333 0.3333
0.0000 0.0000 0.1708
0.3333 0.6667 0.8375
0.6667 0.3333 0.5041
0.0000 0.0000 0.5862
0.0000 0.0000 0.7517
0.3333 0.6667 0.2529
0.3333 0.6667 0.4184
0.6667 0.3333 0.0850
0.6667 0.3333 0.9196
```

Computed properties:
As for the crystal system: trigonal. Its energy of formation from the pure elements is -0.676 eV per atom.



La3Pm6Nd2Mg | GGA-PBE | relaxed

POSCAR file:
```
La3Pm6Nd2Mg
1.0
3.1523 -5.4658 0.0000
3.1523 5.4658 0.0000
-2.1223 0.0000 11.9070
La Pm Nd Mg
3 6 2 1
Direct
0.0000 0.0000 0.0000
0.3318 0.6682 0.0000
0.6682 0.3318 0.0000
0.0884 0.4187 0.2540
0.2518 0.2518 0.7475
0.4187 0.0884 0.2540
0.5813 0.9116 0.7460
0.7482 0.7482 0.2525
0.9116 0.5813 0.7460
0.1668 0.8332 0.5000
0.8332 0.1668 0.5000
0.5000 0.5000 0.5000
```

Computed properties:
As for the crystal system: monoclinic. Its energy of formation from the pure elements is 0.019 eV per atom.



TbTmZr | GGA-PBE | relaxed

POSCAR file:
```
TbTmZr
1.0
3.3900 0.0000 0.0000
0.0000 3.3900 0.0000
0.0000 0.0000 14.6038
Tb Tm Zr
2 2 2
Direct
0.0000 0.0000 0.0000
0.5000 0.5000 0.5000
0.0000 0.0000 0.6870
0.5000 0.5000 0.1870
0.0000 0.0000 0.3411
0.5000 0.5000 0.8411
```

Computed properties:
As for the crystal system: tetragonal. As for the energy relative to the lowest polymorph listed for this composition: 0.000 eV per atom. Its energy of formation from the pure elements is 0.073 eV per atom.



Number 1: final energy -6.59 eV/atom. Number 2: final energy -5.07 eV/atom. Number 3: final energy -3.31 eV/atom. Number 4: final energy -4.01 eV/atom. Number 5: final energy -4.52 eV/atom. Number 6: final energy -5.81 eV/atom.